[1]
A plane-wave DFT calculation with PBE was carried out for TcHgPF2 after structural relaxation.

Output
V: 16.28 Å³/atom
crystal system: tetragonal
SG: P4/mmm, No. 123
total energy: -4.338 eV per atom
density of states at the Fermi level: 0.67 states/eV/atom

Cell and atoms, written as POSCAR:
```
TcHgPF2
1.0
4.023 0.000 0.000
0.000 4.023 0.000
0.000 0.000 5.029
Tc Hg P F
1 1 1 2
Direct
0.000 0.000 0.000
0.500 0.500 0.000
0.000 0.000 0.500
0.000 0.500 0.500
0.500 0.000 0.500
```



[2]
A plane-wave DFT calculation with PBE was carried out for Ce5ErRu4 after structural relaxation.

Output
V: 25.56 Å³/atom
crystal system: orthorhombic
SG: Pmmn, No. 59
total energy: -7.315 eV per atom
energy of formation: -0.182 eV/atom
density of states at the Fermi level: 1.81 states/eV/atom

Cell and atoms, written as POSCAR:
```
Ce5ErRu4
1.0
7.937 0.000 0.000
0.000 9.482 0.000
0.000 0.000 6.792
Ce Er Ru
10 2 8
Direct
0.016 0.059 0.222
0.016 0.441 0.222
0.250 0.750 0.395
0.484 0.059 0.222
0.484 0.441 0.222
0.516 0.559 0.778
0.516 0.941 0.778
0.750 0.250 0.605
0.984 0.559 0.778
0.984 0.941 0.778
0.250 0.250 0.751
0.750 0.750 0.249
0.072 0.750 0.013
0.250 0.006 0.488
0.250 0.494 0.488
0.428 0.750 0.013
0.572 0.250 0.987
0.750 0.506 0.512
0.750 0.994 0.512
0.928 0.250 0.987
```



[3]
A plane-wave DFT calculation with PBE was carried out for CaCdIn2Cl6 after structural relaxation.

Output
V: 30.71 Å³/atom
crystal system: tetragonal
SG: P4mm, No. 99
total energy: -3.286 eV per atom
density of states at the Fermi level: 0.00 states/eV/atom

Cell and atoms, written as POSCAR:
```
CaCdIn2Cl6
1.0
7.518 0.000 0.000
0.000 7.518 0.000
0.000 0.000 5.434
Ca Cd In Cl
1 1 2 6
Direct
0.000 0.000 0.000
0.500 0.500 0.988
0.000 0.500 0.393
0.500 0.000 0.393
0.000 0.000 0.509
0.254 0.254 0.053
0.254 0.746 0.053
0.500 0.500 0.519
0.746 0.254 0.053
0.746 0.746 0.053
```



[4]
A plane-wave DFT calculation with PBE was carried out for Pr7DyCd2 after structural relaxation.

Output
V: 40.46 Å³/atom
crystal system: orthorhombic
SG: Cmmm, No. 65
total energy: -3.627 eV per atom
energy of formation: 0.362 eV/atom
density of states at the Fermi level: 1.73 states/eV/atom

Cell and atoms, written as POSCAR:
```
Pr7DyCd2
1.0
4.589 -8.189 0.000
4.589 8.189 0.000
0.000 0.000 5.384
Pr Dy Cd
7 1 2
Direct
0.000 0.000 0.000
0.200 0.433 0.000
0.278 0.722 0.500
0.433 0.200 0.000
0.567 0.800 0.000
0.722 0.278 0.500
0.800 0.567 0.000
0.500 0.500 0.500
0.196 0.804 0.000
0.804 0.196 0.000
```



[5]
A plane-wave DFT calculation with PBE was carried out for Te2OsIBr after structural relaxation.

Output
offset from the most stable computed form: 0.00 kJ/mol of atoms
V: 30.25 Å³/atom
crystal system: tetragonal
SG: P4/mmm, No. 123
total energy: -3.591 eV per atom
density of states at the Fermi level: 1.19 states/eV/atom

Cell and atoms, written as POSCAR:
```
Te2OsIBr
1.0
5.190 0.000 0.000
0.000 5.190 0.000
0.000 0.000 5.616
Te Os I Br
2 1 1 1
Direct
0.000 0.500 0.000
0.500 0.000 0.000
0.000 0.000 0.000
0.000 0.000 0.500
0.500 0.500 0.500
```



[6]
A plane-wave DFT calculation with PBE was carried out for NaYPS2 after structural relaxation.

Output
offset from the most stable computed form: 0.00 kJ/mol of atoms
V: 30.41 Å³/atom
crystal system: tetragonal
SG: P4/mmm, No. 123
total energy: -4.749 eV per atom
density of states at the Fermi level: 0.83 states/eV/atom

Cell and atoms, written as POSCAR:
```
NaYPS2
1.0
5.293 0.000 0.000
0.000 5.293 0.000
0.000 0.000 5.427
Na Y P S
1 1 1 2
Direct
0.000 0.000 0.000
0.500 0.500 0.500
0.500 0.500 0.000
0.000 0.500 0.500
0.500 0.000 0.500
```